Record 1
This record from the Alexandria database describes a relaxed structure of FeTcBi2Pb. The functional is PBE-GGA.

Calculated values
- D(E_F): 9.9 states/eV per cell
- Energy relative to the elements: 2.280 eV/atom
- Uncorrected energy: -3.7801 eV/atom

Cell and atoms, written as CIF:
```
data_FeTcBi2Pb
_space_group_name_H-M_alt 'P 4/m m m'
_space_group_IT_number 123
_space_group_name_Hall '-P 4 2'
_cell_length_a 5.767
_cell_length_b 5.767
_cell_length_c 5.075
_cell_angle_alpha 90.00
_cell_angle_beta 90.00
_cell_angle_gamma 90.00
loop_
_atom_site_label
_atom_site_type_symbol
_atom_site_fract_x
_atom_site_fract_y
_atom_site_fract_z
Fe1 Fe 0.000 0.000 0.000
Tc1 Tc 0.500 0.500 0.000
Bi1 Bi 0.000 0.500 0.500
Pb1 Pb 0.500 0.500 0.500
```

Record 2
This record from the Alexandria database describes a relaxed structure of HfBi2OsRu. The functional is PBE-GGA.

Calculated values
- D(E_F): 7.6 states/eV per cell
- Energy relative to the elements: 1.775 eV/atom
- Uncorrected energy: -5.8689 eV/atom

Cell and atoms, written as CIF:
```
data_HfBi2OsRu
_space_group_name_H-M_alt 'P 4/m m m'
_space_group_IT_number 123
_space_group_name_Hall '-P 4 2'
_cell_length_a 5.512
_cell_length_b 5.512
_cell_length_c 4.813
_cell_angle_alpha 90.00
_cell_angle_beta 90.00
_cell_angle_gamma 90.00
loop_
_atom_site_label
_atom_site_type_symbol
_atom_site_fract_x
_atom_site_fract_y
_atom_site_fract_z
Hf1 Hf 0.000 0.000 0.000
Bi1 Bi 0.000 0.500 0.000
Os1 Os 0.000 0.000 0.500
Ru1 Ru 0.500 0.500 0.500
```

Record 3
This record from the Alexandria database describes a relaxed structure of AlGaPt3. The functional is PBE-GGA.

Calculated values
- D(E_F): 10.7 states/eV per cell
- Energy relative to the elements: 0.303 eV/atom
- Uncorrected energy: -4.6755 eV/atom

Cell and atoms, written as CIF:
```
data_AlGaPt3
_space_group_name_H-M_alt 'P m -3 m'
_space_group_IT_number 221
_space_group_name_Hall '-P 4 2 3'
_cell_length_a 4.595
_cell_length_b 4.595
_cell_length_c 4.595
_cell_angle_alpha 90.00
_cell_angle_beta 90.00
_cell_angle_gamma 90.00
loop_
_atom_site_label
_atom_site_type_symbol
_atom_site_fract_x
_atom_site_fract_y
_atom_site_fract_z
Al1 Al 0.000 0.000 0.000
Ga1 Ga 0.500 0.500 0.500
Pt1 Pt 0.000 0.000 0.500
```

Record 4
This record from the Alexandria database describes a relaxed structure of Li4Ag3Pd4. The functional is PBE-GGA.

Calculated values
- D(E_F): 4.2 states/eV per cell
- Energy relative to the elements: -0.267 eV/atom
- Uncorrected energy: -3.6291 eV/atom

Cell and atoms, written as CIF:
```
data_Li4Ag3Pd4
_space_group_name_H-M_alt 'P -1'
_space_group_IT_number 2
_space_group_name_Hall '-P 1'
_cell_length_a 2.816
_cell_length_b 3.894
_cell_length_c 15.709
_cell_angle_alpha 97.08
_cell_angle_beta 94.77
_cell_angle_gamma 90.09
loop_
_atom_site_label
_atom_site_type_symbol
_atom_site_fract_x
_atom_site_fract_y
_atom_site_fract_z
Li1 Li 0.051 0.050 0.101
Li2 Li 0.314 0.314 0.628
Ag1 Ag 0.137 0.138 0.277
Ag2 Ag 0.500 0.500 0.000
Pd1 Pd 0.228 0.227 0.455
Pd2 Pd 0.410 0.410 0.821
```

Record 5
This record from the Alexandria database describes a relaxed structure of Li5Zn2Ag12. The functional is PBE-GGA.

Calculated values
- D(E_F): 8.8 states/eV per cell
- Energy relative to the elements: -0.104 eV/atom
- Uncorrected energy: -2.5425 eV/atom

Cell and atoms, written as CIF:
```
data_Li5Zn2Ag12
_space_group_name_H-M_alt 'C 1 2/m 1'
_space_group_IT_number 12
_space_group_name_Hall '-C 2y'
_cell_length_a 14.087
_cell_length_b 9.241
_cell_length_c 5.135
_cell_angle_alpha 90.00
_cell_angle_beta 102.05
_cell_angle_gamma 90.00
loop_
_atom_site_label
_atom_site_type_symbol
_atom_site_fract_x
_atom_site_fract_y
_atom_site_fract_z
Li1 Li 0.000 0.000 0.000
Li2 Li 0.172 0.500 0.370
Li3 Li 0.217 0.000 0.050
Zn1 Zn 0.000 0.248 0.500
Ag1 Ag 0.055 0.500 0.779
Ag2 Ag 0.100 0.251 0.124
Ag3 Ag 0.107 0.000 0.493
Ag4 Ag 0.197 0.258 0.707
```

Record 6
This record from the Alexandria database describes a relaxed structure of ZrSc. The functional is PBE-GGA.

Calculated values
- D(E_F): 20.8 states/eV per cell
- Energy relative to the elements: 0.014 eV/atom
- Uncorrected energy: -7.4259 eV/atom

Cell and atoms, written as CIF:
```
data_ZrSc
_space_group_name_H-M_alt 'F d d d'
_space_group_IT_number 70
_cell_length_a 6.431
_cell_length_b 6.440
_cell_length_c 9.035
_cell_angle_alpha 90.00
_cell_angle_beta 90.00
_cell_angle_gamma 90.00
loop_
_space_group_symop_operation_xyz
'x,y,z'
'-x,-y,-z'
'-x+1/4,-y+1/4,z'
'x+1/4,y+1/4,-z'
'x,-y+1/4,-z+1/4'
'-x,y+1/4,z+1/4'
'-x+1/4,y,-z+1/4'
'x+1/4,-y,z+1/4'
'x,y+1/2,z+1/2'
'-x,-y+1/2,-z+1/2'
'-x+1/4,-y+3/4,z+1/2'
'x+1/4,y+3/4,-z+1/2'
'x,-y+3/4,-z+3/4'
'-x,y+3/4,z+3/4'
'-x+1/4,y+1/2,-z+3/4'
'x+1/4,-y+1/2,z+3/4'
'x+1/2,y,z+1/2'
'-x+1/2,-y,-z+1/2'
'-x+3/4,-y+1/4,z+1/2'
'x+3/4,y+1/4,-z+1/2'
'x+1/2,-y+1/4,-z+3/4'
'-x+1/2,y+1/4,z+3/4'
'-x+3/4,y,-z+3/4'
'x+3/4,-y,z+3/4'
'x+1/2,y+1/2,z'
'-x+1/2,-y+1/2,-z'
'-x+3/4,-y+3/4,z'
'x+3/4,y+3/4,-z'
'x+1/2,-y+3/4,-z+1/4'
'-x+1/2,y+3/4,z+1/4'
'-x+3/4,y+1/2,-z+1/4'
'x+3/4,-y+1/2,z+1/4'
loop_
_atom_site_label
_atom_site_type_symbol
_atom_site_fract_x
_atom_site_fract_y
_atom_site_fract_z
Zr1 Zr 0.125 0.125 0.125
Sc1 Sc 0.125 0.125 0.625
```

Record 7
This record from the Alexandria database describes a relaxed structure of MgNiIrRu2. The functional is PBE-GGA.

Calculated values
- D(E_F): 8.4 states/eV per cell
- Energy relative to the elements: 1.213 eV/atom
- Uncorrected energy: -5.7444 eV/atom

Cell and atoms, written as CIF:
```
data_MgNiIrRu2
_space_group_name_H-M_alt 'P 4/m m m'
_space_group_IT_number 123
_space_group_name_Hall '-P 4 2'
_cell_length_a 4.691
_cell_length_b 4.691
_cell_length_c 4.591
_cell_angle_alpha 90.00
_cell_angle_beta 90.00
_cell_angle_gamma 90.00
loop_
_atom_site_label
_atom_site_type_symbol
_atom_site_fract_x
_atom_site_fract_y
_atom_site_fract_z
Mg1 Mg 0.000 0.000 0.000
Ni1 Ni 0.500 0.500 0.000
Ir1 Ir 0.500 0.500 0.500
Ru1 Ru 0.000 0.500 0.500
```

Record 8
This record from the Alexandria database describes a relaxed structure of Li3Y3HfSe8. The functional is PBE-GGA.

Calculated values
- Uncorrected energy: -5.8276 eV/atom

Cell and atoms, written as CIF:
```
data_Li3Y3HfSe8
_space_group_name_H-M_alt 'R -3 m'
_space_group_IT_number 166
_space_group_name_Hall '-R 3 2"'
_cell_length_a 8.0630
_cell_length_b 8.0630
_cell_length_c 19.5105
_cell_angle_alpha 90.00
_cell_angle_beta 90.00
_cell_angle_gamma 120.00
loop_
_atom_site_label
_atom_site_type_symbol
_atom_site_fract_x
_atom_site_fract_y
_atom_site_fract_z
Li1 Li 0.0000 0.5000 0.0000
Y1 Y 0.0000 0.5000 0.5000
Hf1 Hf 0.0000 0.0000 0.5000
Se1 Se 0.0000 0.0000 0.2516
Se2 Se 0.0180 0.5090 0.2478
```